Record 1
This record from Alexandria via LeMat-Bulk describes an optimized crystal structure of Tb3Nd2Sm. The functional is PBE-GGA.

Cell lengths 6.038, 12.398, 12.398 Å; angles 45.99, 43.17, 43.17 degrees
Positions (direct):
Tb1 0.250 0.393 0.607
Tb2 0.048 0.153 0.317
Tb3 0.548 0.317 0.153
Tb4 0.952 0.847 0.683
Nd1 0.845 0.857 0.413
Nd2 0.655 0.587 0.143
Nd3 0.155 0.143 0.587
Sm1 0.000 0.000 0.000
Tb5 0.750 0.607 0.393
Tb6 0.452 0.683 0.847
Nd4 0.345 0.413 0.857
Sm2 0.500 0.000 0.000

Properties
**Uncorrected energy**: -4.533 eV/atom

***

Record 2
This record from Alexandria via LeMat-Bulk describes an optimized crystal structure of Tb7NdSm4. The functional is PBE-GGA.

Cell lengths 5.952, 11.665, 6.757 Å; angles 83.29, 63.87, 75.22 degrees
Positions (direct):
Sm1 0.238 0.324 0.200
Tb1 0.936 0.323 0.804
Tb2 0.368 0.499 0.764
Tb3 0.632 0.501 0.236
Nd1 0.000 0.000 0.000
Tb4 0.211 0.078 0.501
Sm2 0.364 0.776 0.495
Sm3 0.762 0.676 0.800
Tb5 0.500 0.000 0.000
Sm4 0.636 0.224 0.505
Tb6 0.789 0.922 0.499
Tb7 0.064 0.677 0.196

Properties
**Uncorrected energy**: -4.416 eV/atom

***

Record 3
This record from Alexandria via LeMat-Bulk describes an optimized crystal structure of Tb2Nd3Sm3. The functional is PBE-GGA.

Cell lengths 5.828, 6.071, 8.779 Å; angles 110.00, 109.39, 90.00 degrees
Positions (direct):
Sm1 0.633 0.079 0.267
Tb1 0.750 0.682 0.500
Sm2 0.367 0.921 0.733
Tb2 0.250 0.318 0.500
Nd1 0.000 0.000 0.000
Nd2 0.866 0.308 0.731
Nd3 0.134 0.692 0.269
Sm3 0.500 0.500 0.000

Properties
**Uncorrected energy**: -4.637 eV/atom

***

Record 4
This record from Alexandria via LeMat-Bulk describes an optimized crystal structure of TbNd5Sm6. The functional is PBE-GGA.

Cell lengths 12.087, 6.316, 6.316 Å; angles 60.00, 84.98, 79.92 degrees
Positions (direct):
Nd1 0.500 0.833 0.333
Nd2 0.500 0.167 0.667
Nd3 0.000 0.667 0.667
Sm1 0.751 0.415 0.667
Nd4 0.500 0.500 0.000
Nd5 0.000 0.333 0.333
Sm2 0.751 0.083 0.333
Tb1 0.000 0.000 0.000
Sm3 0.249 0.917 0.667
Sm4 0.249 0.250 0.000
Sm5 0.751 0.750 0.000
Sm6 0.249 0.585 0.333

Properties
**Uncorrected energy**: -4.719 eV/atom

***

| no. | energy relative to the elements (eV per atom) |
| --- | --- |
| 1 | 0.158 |
| 2 | 0.255 |
| 3 | 0.079 |
| 4 | 0.013 |